Here is a relaxed structure of AsRuSe2S from Alexandria. Energies are from PBE-GGA.

**Formation energy from raw total energies**: 0.48 eV per atom

Cell: 5.092 4.252 5.092 Å, 90.00 90.00 90.00°
Fractional positions:
Se: 0.500 0.000 0.000
Se: 0.000 0.000 0.500
S: 0.000 0.500 0.000
Ru: 0.000 0.000 0.000
As: 0.500 0.500 0.500

---

Here is a relaxed structure of KNbMo2As from Alexandria. Energies are from PBE-GGA.

**VASP energy**: -0.454 Ry per atom

Cell: 4.851 4.851 4.928 Å, 90.00 90.00 90.00°
Fractional positions:
Mo: 0.000 0.500 0.000
Mo: 0.500 0.000 0.000
Nb: 0.000 0.000 0.500
As: 0.000 0.000 0.000
K: 0.500 0.500 0.500

---

Here is a relaxed structure of InReS2Cl from Alexandria. Energies are from PBE-GGA.

**Formation energy from raw total energies**: -0.08 eV per atom

Cell: 4.604 4.604 5.254 Å, 90.00 90.00 90.00°
Fractional positions:
Cl: 0.000 0.000 0.500
In: 0.500 0.500 0.500
S: 0.000 0.500 0.000
S: 0.500 0.000 0.000
Re: 0.000 0.000 0.000

---

Here is a relaxed structure of AlBiSbTe2 from Alexandria. Energies are from PBE-GGA.

**Formation energy from raw total energies**: 0.75 eV per atom

Cell: 6.017 6.017 5.818 Å, 90.00 90.00 90.00°
Fractional positions:
Bi: 0.000 0.000 0.000
Te: 0.500 0.000 0.000
Te: 0.000 0.500 0.000
Sb: 0.000 0.000 0.500
Al: 0.500 0.500 0.500